Here is an optimized crystal structure of AcScRuRh from the Alexandria database. Energies are from GGA-PBE.

Unit cell a=4.897 b=4.897 c=4.897 alpha=60.00 beta=60.00 gamma=60.00
Positions (direct):
Ac 0.000 0.000 0.000
Sc 0.500 0.500 0.500
Ru 0.250 0.250 0.250
Rh 0.750 0.750 0.750

total magnetic moment = 0.00 μB per formula unit
ΔE_f = -0.36 eV/atom
space group = F-43m (216)

=====

Here is an optimized crystal structure of AcSi2RuRh from the Alexandria database. Energies are from GGA-PBE.

Unit cell a=6.079 b=6.079 c=6.079 alpha=139.31 beta=139.31 gamma=58.90
Positions (direct):
Ac 0.000 0.000 0.000
Si 0.360 0.360 0.000
Si 0.640 0.640 0.000
Ru 0.250 0.750 0.500
Rh 0.750 0.250 0.500

total magnetic moment = 0.00 μB per formula unit
calculated total energy = -7.245 eV/atom
space group = I-4m2 (119)

=====

Here is an optimized crystal structure of Ac2Sn4RuRh3 from the Alexandria database. Energies are from GGA-PBE.

Unit cell a=4.638 b=4.638 c=10.680 alpha=90.00 beta=90.00 gamma=90.00
Positions (direct):
Ac 0.000 0.500 0.243
Ac 0.500 0.000 0.757
Sn 0.000 0.000 0.500
Sn 0.000 0.500 0.876
Sn 0.500 0.000 0.124
Sn 0.500 0.500 0.500
Ru 0.500 0.500 0.000
Rh 0.000 0.000 0.000
Rh 0.000 0.500 0.628
Rh 0.500 0.000 0.372

total magnetic moment = 0.00 μB per formula unit
ΔE_f = -0.67 eV/atom
space group = P-4m2 (115)